The following is a DFT calculation (PBE-GGA) of crystalline Sr2SbSe at its relaxed geometry.

Computed properties:
D(E_F) = 0.96 states/eV/cell
total energy = -4.054 eV per atom
formation energy from raw total energies = -30.25 kcal/mol of atoms
space group = Imm2, No. 44
energy above the most stable polymorph in this dataset = 0.33 eV/f.u.

a = 8.8158 Å, b = 8.8158 Å, c = 8.8158 Å
α = 154.04°, β = 152.67°, γ = 38.04°
With the nearest neighbours (Å) after each atom.
Atoms (fractional coordinates):
Sr1 0.0599 0.0599 0.0000  2 Se 3.13, 4 Sb 3.42
Sr2 0.7859 0.2859 0.5000  4 Se 3.17, 2 Sb 3.42
Se1 0.2057 0.7057 0.5000  6 Sr 3.13-3.17
Sb1 0.4485 0.4485 0.0000  6 Sr 3.42

---

The following is a DFT calculation (PBE-GGA) of crystalline SrSbSe2 at its relaxed geometry.

Computed properties:
D(E_F) = 0.78 states/eV/cell
total energy = -4.211 eV per atom
formation energy from raw total energies = -23.46 kcal/mol of atoms
space group = Amm2, No. 38

a = 6.1871 Å, b = 6.1871 Å, c = 4.6934 Å
α = 90.00°, β = 90.00°, γ = 38.46°
With the nearest neighbours (Å) after each atom.
Atoms (fractional coordinates):
Se1 0.0203 0.0203 0.1250  1 Sb 2.63
Se2 0.7554 0.7554 0.6251  4 Sb 3.11, 3 Sr 3.23-3.31
Sr1 0.4788 0.4788 0.6250  7 Se 3.15-3.31
Sb1 0.2454 0.2454 0.1249  1 Se 2.63

---

The following is a DFT calculation (PBE-GGA) of crystalline Sr2SbSe at its relaxed geometry.

Computed properties:
D(E_F) = 6.16 states/eV/cell
total energy = -3.890 eV per atom
formation energy from raw total energies = -26.47 kcal/mol of atoms
space group = Fm-3m, No. 225
energy above the most stable polymorph in this dataset = 0.99 eV/f.u.

a = 5.6184 Å, b = 5.6184 Å, c = 5.6184 Å
α = 60.00°, β = 60.00°, γ = 60.00°
With the nearest neighbours (Å) after each atom.
Atoms (fractional coordinates):
Sr1 0.2500 0.2500 0.2500  4 Sb 3.44, 4 Se 3.44
Sr2 0.7500 0.7500 0.7500  4 Sb 3.44, 4 Se 3.44
Se1 0.0000 0.0000 0.0000  8 Sr 3.44
Sb1 0.5000 0.5000 0.5000  8 Sr 3.44

---

- The lowest D(E_F) belongs to which entry?
  SrSbSe2